(1)
# TeRu2RhC (GGA-PBE, optimized geometry)
data_TeRu2RhC
_chemical_formula_sum 'Te1 Ru2 Rh1 C1'
_symmetry_space_group_name_H-M 'P 1'
_symmetry_Int_Tables_number 1
_symmetry_space_group_name_Hall 'P 1'
_cell_length_a 4.8813
_cell_length_b 4.8813
_cell_length_c 4.8979
_cell_angle_alpha 90.00
_cell_angle_beta 90.00
_cell_angle_gamma 90.00
loop_
_atom_site_label
_atom_site_type_symbol
_atom_site_fract_x
_atom_site_fract_y
_atom_site_fract_z
Te1 Te 0.0000 0.0000 0.0000
Ru1 Ru 0.0000 0.5000 0.5000
Ru2 Ru 0.5000 0.0000 0.5000
Rh1 Rh 0.0000 0.0000 0.5000
C1 C 0.5000 0.5000 0.0000
# E_form (uncorrected) ... 2.6789 eV per atom
# Volume ... 116.7 Å³ per cell
# Spin magnetization ... 4.386 μB per formula unit
# E ... -4.97 eV/atom



(2)
# SnAsBr (GGA-PBE, optimized geometry)
data_SnAsBr
_chemical_formula_sum 'Sn1 As1 Br1'
_symmetry_space_group_name_H-M 'P 1'
_symmetry_Int_Tables_number 1
_symmetry_space_group_name_Hall 'P 1'
_cell_length_a 4.9802
_cell_length_b 4.9802
_cell_length_c 3.4432
_cell_angle_alpha 90.00
_cell_angle_beta 90.00
_cell_angle_gamma 120.00
loop_
_atom_site_label
_atom_site_type_symbol
_atom_site_fract_x
_atom_site_fract_y
_atom_site_fract_z
Sn1 Sn 0.0000 0.0000 0.0000
As1 As 0.6667 0.3333 0.9216
Br1 Br 0.3333 0.6667 0.4690
# E_form (uncorrected) ... 0.1267 eV per atom
# Volume ... 74.0 Å³ per cell
# Spin magnetization ... 0.000 μB per formula unit
# E ... -3.32 eV/atom
# E above lowest polymorph ... 0.456 eV/atom



(3)
# NdDyCoBr (GGA-PBE, optimized geometry)
data_NdDyCoBr
_chemical_formula_sum 'Nd1 Dy1 Co1 Br1'
_symmetry_space_group_name_H-M 'P 1'
_symmetry_Int_Tables_number 1
_symmetry_space_group_name_Hall 'P 1'
_cell_length_a 3.9090
_cell_length_b 3.9090
_cell_length_c 8.0977
_cell_angle_alpha 104.02
_cell_angle_beta 104.02
_cell_angle_gamma 60.04
loop_
_atom_site_label
_atom_site_type_symbol
_atom_site_fract_x
_atom_site_fract_y
_atom_site_fract_z
Nd1 Nd 0.0000 0.0000 0.0000
Dy1 Dy 0.2069 0.2069 0.6194
Co1 Co 0.6017 0.6017 0.8045
Br1 Br 0.7744 0.7744 0.3234
# E_form (uncorrected) ... -0.7153 eV per atom
# Volume ... 102.9 Å³ per cell
# Spin magnetization ... 0.000 μB per formula unit
# E ... -5.25 eV/atom



- The lowest E belongs to which entry?
  NdDyCoBr